22
Lattice="-3.1542 2.0888 2.0386 -0.7268 -2.1608 -3.4401 -3.5210 -15.6147 10.5518" Properties=species:S:1:pos:R:3 comment="FeNi4Rh6, optimized geometry, DFT PBE-GGA" total_energy_ha_per_atom=-0.2466 formation_energy_ev_per_atom=0.171 space_group="No. 63" n_ef_per_ev_atom=1.7950 pbc="T T T"
Fe -3.8060 -3.5128 2.2401
Fe -3.5960 -12.1739 6.9102
Ni -5.0961 -8.2083 5.0553
Ni -2.5344 -2.9657 -0.8826
Ni -2.3059 -7.4784 4.0950
Ni -4.8676 -12.7210 10.0328
Ni -6.5563 -14.6836 9.4311
Ni -0.8458 -1.0031 -0.2808
Ni -3.9869 -8.8152 7.3934
Ni -3.4151 -6.8715 1.7568
Rh -1.5771 1.0444 1.0193
Rh -3.3376 -6.7629 6.2952
Rh -1.6728 -5.2805 2.8225
Rh -5.7292 -10.4062 6.3278
Rh -6.2319 -12.6353 7.8342
Rh -1.1701 -3.0513 1.3161
Rh -4.3852 -5.9608 3.8524
Rh -3.0169 -9.7259 5.2978
Rh -4.1142 -14.5924 8.5864
Rh -3.2878 -1.0943 0.5638
Rh -2.9696 -4.9161 0.4425
Rh -4.4324 -10.7705 8.7077